1.
An optimized crystal structure of MgZrGe2, computed with PBE.

Structure (POSCAR):
```
MgZrGe2
1.0
0.241 -3.951 2.740
-3.996 -2.504 0.970
-0.659 -4.341 -1.973
Ge Mg Zr
2 1 1
Direct
0.000 0.000 0.000 Ge
0.250 0.250 0.250 Ge
0.750 0.750 0.750 Mg
0.500 0.500 0.500 Zr
```

Values from the calculation:
E	-4.68	eV per atom
SG	F-43m, No. 216

***

2.
An optimized crystal structure of Ge2Mo3, computed with PBE.

Structure (POSCAR):
```
Ge2Mo3
1.0
6.877 0.000 0.000
0.000 6.877 0.000
0.000 0.000 3.280
Ge Mo
4 6
Direct
0.643 0.143 0.000 Ge
0.143 0.357 0.000 Ge
0.857 0.643 0.000 Ge
0.357 0.857 0.000 Ge
0.000 0.000 0.000 Mo
0.500 0.500 0.000 Mo
0.345 0.155 0.500 Mo
0.845 0.345 0.500 Mo
0.155 0.655 0.500 Mo
0.655 0.845 0.500 Mo
```

Values from the calculation:
E	-8.28	eV per atom
SG	P4/mbm, No. 127

***

3.
An optimized crystal structure of Ge2MoN, computed with PBE.

Structure (POSCAR):
```
Ge2MoN
1.0
2.945 0.000 0.000
-1.473 2.551 0.000
0.000 0.000 13.757
Ge Mo N
4 2 2
Direct
0.333 0.667 0.101 Ge
0.333 0.667 0.399 Ge
0.667 0.333 0.601 Ge
0.667 0.333 0.899 Ge
0.667 0.333 0.250 Mo
0.333 0.667 0.750 Mo
0.000 0.000 0.000 N
0.000 0.000 0.500 N
```

Values from the calculation:
E	-6.68	eV per atom
SG	P6_3/mmc, No. 194

***

4.
An optimized crystal structure of GeMo3N, computed with PBE.

Structure (POSCAR):
```
GeMo3N
1.0
-2.687 2.688 -1.556
-2.772 -3.003 -0.400
-1.400 0.789 3.780
Ge Mo N
1 3 1
Direct
0.000 0.000 0.000 Ge
0.500 0.500 0.000 Mo
0.500 0.000 0.500 Mo
0.000 0.500 0.500 Mo
0.500 0.500 0.500 N
```

Values from the calculation:
E	-9.17	eV per atom
SG	Pm-3m, No. 221

***

Q: What is the formula in the fourth record?
A: GeMo3N

***

Q: Look up the E of the third one.
A: -6.68 eV per atom